[1]
LiAlSbIr | GGA-PBE | relaxed

Its energy above the lowest structure with this stoichiometry is 0 meV per atom. The calculated volume comes out at 15.9 A^3/atom. The size of the total moment is 0.00 μB/f.u. The space group is F-43m.

abc: 4.482 4.482 4.482
angles: 60.00 60.00 60.00
Fractional positions:
Ir: 0.250 0.250 0.250
Al: 0.000 0.000 0.000
Sb: 0.500 0.500 0.500
Li: 0.750 0.750 0.750

---

[2]
Li2Sc2AlSiIr2 | GGA-PBE | relaxed

The calculation puts the total energy at -0.4516 Ry/atom. The calculated volume comes out at 15.0 A^3/atom. The size of the total moment is 0.01 μB/f.u. The space group is P-4m2.

abc: 4.392 4.392 6.239
angles: 90.00 90.00 90.00
Fractional positions:
Sc: 0.500 0.500 0.000
Ir: 0.000 0.500 0.256
Al: 0.000 0.000 0.000
Ir: 0.500 0.000 0.744
Si: 0.500 0.500 0.500
Li: 0.000 0.500 0.743
Li: 0.500 0.000 0.257
Sc: 0.000 0.000 0.500

---

[3]
Li4AlSiIr2 | GGA-PBE | relaxed

The calculation puts the total energy at -0.3549 Ry/atom. The calculated volume comes out at 12.7 A^3/atom. The size of the total moment is 0.01 μB/f.u. The space group is P-4m2.

abc: 4.162 4.162 5.883
angles: 90.00 90.00 90.00
Fractional positions:
Ir: 0.500 0.000 0.266
Ir: 0.000 0.500 0.734
Li: 0.500 0.000 0.747
Li: 0.000 0.000 0.500
Li: 0.000 0.500 0.253
Li: 0.500 0.500 0.000
Si: 0.500 0.500 0.500
Al: 0.000 0.000 0.000